Entry 1:
This record from Alexandria describes crystalline BiTeC at its relaxed geometry. The functional is PBE-GGA.

a b c (Å): 6.1217 6.1217 8.8304
angles (deg): 117.56 117.56 40.45
Atoms (fractional coordinates):
Bi  0.0000  0.0000  0.0000
Bi  0.5600  0.5600  0.3916
Te  0.2408  0.2408  0.3333
Te  0.5928  0.5928  0.8147
C  0.2325  0.9255  0.6155
C  0.9255  0.2325  0.6155

Calculated values
ρ (g/cm³): 6.2
Space group: Cm
Polymorph energy (0 for the lowest one) (eV per atom): 0.120

Entry 2:
This record from Alexandria describes crystalline TaNiP at its relaxed geometry. The functional is PBE-GGA.

a b c (Å): 5.0613 5.0613 5.0613
angles (deg): 138.61 97.17 97.18
Atoms (fractional coordinates):
Ta  0.0000  0.0000  0.0000
Ta  0.6035  0.1035  0.5000
Ni  0.1759  0.3763  0.7995
Ni  0.5768  0.3763  0.2005
P  0.4287  0.6981  0.7306
P  0.9674  0.6981  0.2694

Calculated values
ρ (g/cm³): 11.2
Space group: Imm2
Calculated formation energy (meV/atom): -690

Entry 3:
This record from Alexandria describes crystalline Tm2PtBr at its relaxed geometry. The functional is PBE-GGA.

a b c (Å): 8.0075 8.0075 8.0075
angles (deg): 29.36 29.36 29.36
Atoms (fractional coordinates):
Tm  0.0000  0.0000  0.0000
Tm  0.2080  0.2080  0.2080
Pt  0.6046  0.6046  0.6046
Br  0.7765  0.7765  0.7765

Calculated values
ρ (g/cm³): 9.3
Space group: R3m
Electronic total energy (eV for the cell shown): -21.6

Entry 4:
This record from Alexandria describes crystalline La2SnHgAs at its relaxed geometry. The functional is PBE-GGA.

a b c (Å): 5.7310 5.7310 5.2791
angles (deg): 90.00 90.00 90.00
Atoms (fractional coordinates):
La  0.0000  0.5000  0.0000
La  0.5000  0.0000  0.0000
Sn  0.0000  0.0000  0.5000
Hg  0.5000  0.5000  0.5000
As  0.0000  0.0000  0.0000

Calculated values
ρ (g/cm³): 6.4
Space group: P4/mmm
Calculated formation energy (meV/atom): -364

Entry 5:
This record from Alexandria describes crystalline Ac3AgRh at its relaxed geometry. The functional is PBE-GGA.

a b c (Å): 5.7637 5.7637 5.7637
angles (deg): 90.00 90.00 90.00
Atoms (fractional coordinates):
Ac  0.0000  0.0000  0.5000
Ac  0.0000  0.5000  0.0000
Ac  0.5000  0.0000  0.0000
Ag  0.5000  0.5000  0.5000
Rh  0.0000  0.0000  0.0000

Calculated values
ρ (g/cm³): 7.7
Space group: Pm-3m
Polymorph energy (0 for the lowest one) (eV per atom): 0.218
Calculated formation energy (meV/atom): -216

Entry 6:
This record from Alexandria describes crystalline Ba2BeTeRh at its relaxed geometry. The functional is PBE-GGA.

a b c (Å): 6.0054 6.0054 4.3993
angles (deg): 90.00 90.00 90.00
Atoms (fractional coordinates):
Ba  0.0000  0.5000  0.0000
Ba  0.5000  0.0000  0.0000
Be  0.0000  0.0000  0.5000
Te  0.5000  0.5000  0.5000
Rh  0.0000  0.0000  0.0000

Calculated values
ρ (g/cm³): 5.4
Space group: P4/mmm
Electronic total energy (eV for the cell shown): -21.0

Entry 7:
This record from Alexandria describes crystalline KCd2Se at its relaxed geometry. The functional is PBE-GGA.

a b c (Å): 4.4674 4.4818 5.4032
angles (deg): 90.00 90.00 90.00
Atoms (fractional coordinates):
K  0.0000  0.0000  0.0000
Cd  0.0000  0.5000  0.5000
Cd  0.5000  0.0000  0.5000
Se  0.5000  0.5000  0.0000

Calculated values
ρ (g/cm³): 5.3
Space group: Pmmm
Electronic total energy (eV for the cell shown): -7.5

Entry 8:
This record from Alexandria describes crystalline Ta5Re at its relaxed geometry. The functional is PBE-GGA.

a b c (Å): 5.4650 5.4650 6.5996
angles (deg): 107.82 107.82 34.35
Atoms (fractional coordinates):
Ta  0.0000  0.0000  0.0000
Ta  0.3363  0.3363  0.1745
Ta  0.3387  0.3387  0.6625
Ta  0.6613  0.6613  0.3375
Ta  0.6637  0.6637  0.8255
Re  0.0000  0.0000  0.5000

Calculated values
ρ (g/cm³): 17.2
Space group: C2/m
Polymorph energy (0 for the lowest one) (eV per atom): 0.003
Calculated formation energy (meV/atom): -163